Model P:
The following is a DFT calculation (PBE-GGA) of crystalline Y2CrNi at its relaxed geometry.

volume = 84 Å³/cell

Lattice parameters (Å, degrees): 3.464 3.477 6.970 90.00 90.00 90.00
Space group Pmmm (No. 47)
Asymmetric unit:
Y 0.000 0.000 0.238 [2 per cell]
Cr 0.500 0.500 0.500 [1 per cell]
Ni 0.500 0.500 0.000 [1 per cell]


Model Q:
The following is a DFT calculation (PBE-GGA) of crystalline Y2CrNi at its relaxed geometry.

volume = 327 Å³/cell

Lattice parameters (Å, degrees): 6.887 6.887 6.887 90.00 90.00 90.00
Space group F-43m (No. 216)
Asymmetric unit:
Y 0.000 0.000 0.000 [4 per cell]
Y 0.250 0.250 0.250 [4 per cell]
Cr 0.000 0.000 0.500 [4 per cell]
Ni 0.250 0.250 0.750 [4 per cell]


Model R:
The following is a DFT calculation (PBE-GGA) of crystalline Y2CrNi at its relaxed geometry.

volume = 170 Å³/cell

Lattice parameters (Å, degrees): 3.415 4.658 10.696 90.00 90.00 90.00
Space group Imm2 (No. 44)
Asymmetric unit:
Y 0.000 0.000 0.000 [2 per cell]
Y 0.000 0.500 0.216 [2 per cell]
Cr 0.000 0.500 0.801 [2 per cell]
Ni 0.000 0.000 0.465 [2 per cell]


Model S:
The following is a DFT calculation (PBE-GGA) of crystalline Y2CrNi at its relaxed geometry.

volume = 342 Å³/cell

Lattice parameters (Å, degrees): 6.992 6.992 6.992 90.00 90.00 90.00
Space group Fm-3m (No. 225)
Asymmetric unit:
Y 0.250 0.250 0.250 [8 per cell]
Cr 0.000 0.000 0.000 [4 per cell]
Ni 0.000 0.000 0.500 [4 per cell]


Most stable pick: model P. Distance to second place: 3.9 kJ/mol of atoms.


Model P:
The following is a DFT calculation (PBE-GGA) of crystalline ZnCrNi6 at its relaxed geometry.

volume = 90 Å³/cell

Lattice parameters (Å, degrees): 3.555 3.555 7.086 90.00 90.00 90.00
Space group P4/mmm (No. 123)
Asymmetric unit:
Zn 0.000 0.000 0.000 [1 per cell]
Cr 0.000 0.000 0.500 [1 per cell]
Ni 0.000 0.500 0.258 [4 per cell]
Ni 0.500 0.500 0.000 [1 per cell]
Ni 0.500 0.500 0.500 [1 per cell]


Model Q:
The following is a DFT calculation (PBE-GGA) of crystalline ZnCrNi6 at its relaxed geometry.

volume = 717 Å³/cell

Lattice parameters (Å, degrees): 7.111 10.039 10.050 90.00 90.00 90.00
Space group Cmmm (No. 65)
Asymmetric unit:
Zn 0.000 0.000 0.250 [4 per cell]
Zn 0.000 0.249 0.000 [4 per cell]
Cr 0.000 0.251 0.500 [4 per cell]
Cr 0.000 0.500 0.246 [4 per cell]
Ni 0.000 0.000 0.000 [2 per cell]
Ni 0.000 0.000 0.500 [2 per cell]
Ni 0.000 0.253 0.255 [8 per cell]
Ni 0.000 0.500 0.000 [2 per cell]
Ni 0.000 0.500 0.500 [2 per cell]
Ni 0.246 0.374 0.377 [16 per cell]
Ni 0.246 0.376 0.128 [16 per cell]


Most stable pick: model P. Distance to second place: 1.4 kJ/mol of atoms.


Model P:
The following is a DFT calculation (PBE-GGA) of crystalline ZrCr2Ni at its relaxed geometry.

volume = 57 Å³/cell

Lattice parameters (Å, degrees): 2.697 3.906 5.536 90.00 103.51 90.00
Space group Pm (No. 6)
Asymmetric unit:
Zr 0.000 0.000 0.000 [1 per cell]
Cr 0.574 0.500 0.309 [1 per cell]
Cr 0.908 0.000 0.482 [1 per cell]
Ni 0.400 0.500 0.723 [1 per cell]


Model Q:
The following is a DFT calculation (PBE-GGA) of crystalline ZrCr2Ni at its relaxed geometry.

volume = 58 Å³/cell

Lattice parameters (Å, degrees): 3.024 3.024 6.314 90.00 90.00 90.00
Space group P4mm (No. 99)
Asymmetric unit:
Zr 0.000 0.000 0.000 [1 per cell]
Cr 0.000 0.000 0.490 [1 per cell]
Cr 0.500 0.500 0.293 [1 per cell]
Ni 0.500 0.500 0.720 [1 per cell]


Most stable pick: model Q. Distance to second place: 11.7 kJ/mol of atoms.


Model P:
The following is a DFT calculation (PBE-GGA) of crystalline ZrCr2Ni at its relaxed geometry.

volume = 59 Å³/cell

Lattice parameters (Å, degrees): 3.140 3.140 5.948 90.00 90.00 90.00
Space group P4/mmm (No. 123)
Asymmetric unit:
Zr 0.000 0.000 0.000 [1 per cell]
Cr 0.500 0.500 0.325 [2 per cell]
Ni 0.000 0.000 0.500 [1 per cell]


Model Q:
The following is a DFT calculation (PBE-GGA) of crystalline ZrCr2Ni at its relaxed geometry.

volume = 116 Å³/cell

Lattice parameters (Å, degrees): 9.195 2.912 4.481 90.00 104.52 90.00
Space group C2/m (No. 12)
Asymmetric unit:
Zr 0.000 0.000 0.000 [2 per cell]
Cr 0.231 0.000 0.677 [4 per cell]
Ni 0.000 0.500 0.500 [2 per cell]


Model R:
The following is a DFT calculation (PBE-GGA) of crystalline ZrCr2Ni at its relaxed geometry.

volume = 112 Å³/cell

Lattice parameters (Å, degrees): 5.125 8.856 2.653 90.00 111.53 90.00
Space group C2/m (No. 12)
Asymmetric unit:
Zr 0.000 0.000 0.000 [2 per cell]
Cr 0.250 0.250 0.500 [4 per cell]
Ni 0.000 0.500 0.000 [2 per cell]


Most stable pick: model Q. Distance to second place: 5.3 kJ/mol of atoms.


Model P:
The following is a DFT calculation (PBE-GGA) of crystalline ZrCr2Ni at its relaxed geometry.

volume = 175 Å³/cell

Lattice parameters (Å, degrees): 2.8700 2.8700 24.4700 90.00 90.00 120.00
Space group R3m (No. 160, hexagonal axes)
Asymmetric unit:
Zr 0.0000 0.0000 0.0000 [3 per cell]
Cr 0.0000 0.0000 0.2331 [3 per cell]
Cr 0.0000 0.0000 0.5020 [3 per cell]
Ni 0.0000 0.0000 0.7589 [3 per cell]


Model Q:
The following is a DFT calculation (PBE-GGA) of crystalline ZrCr2Ni at its relaxed geometry.

volume = 113 Å³/cell

Lattice parameters (Å, degrees): 3.189 4.100 8.659 90.00 90.00 90.00
Space group Immm (No. 71)
Asymmetric unit:
Zr 0.000 0.000 0.000 [2 per cell]
Cr 0.000 0.500 0.249 [4 per cell]
Ni 0.000 0.000 0.500 [2 per cell]


Most stable pick: model Q. Distance to second place: 10.1 kJ/mol of atoms.


Model P:
The following is a DFT calculation (PBE-GGA) of crystalline ZrCr2Ni at its relaxed geometry.

volume = 58 Å³/cell

Lattice parameters (Å, degrees): 2.961 4.512 4.394 90.00 97.68 90.00
Space group P2/m (No. 10)
Asymmetric unit:
Zr 0.000 0.000 0.000 [1 per cell]
Cr 0.323 0.500 0.769 [2 per cell]
Ni 0.500 0.000 0.500 [1 per cell]


Model Q:
The following is a DFT calculation (PBE-GGA) of crystalline ZrCr2Ni at its relaxed geometry.

volume = 182 Å³/cell

Lattice parameters (Å, degrees): 2.8209 2.8209 26.3869 90.00 90.00 120.00
Space group R-3m (No. 166, hexagonal axes)
Asymmetric unit:
Zr 0.0000 0.0000 0.0000 [3 per cell]
Cr 0.0000 0.0000 0.2390 [6 per cell]
Ni 0.0000 0.0000 0.5000 [3 per cell]


Model R:
The following is a DFT calculation (PBE-GGA) of crystalline ZrCr2Ni at its relaxed geometry.

volume = 228 Å³/cell

Lattice parameters (Å, degrees): 6.106 6.106 6.106 90.00 90.00 90.00
Space group Fm-3m (No. 225)
Asymmetric unit:
Zr 0.000 0.000 0.000 [4 per cell]
Cr 0.250 0.250 0.250 [8 per cell]
Ni 0.000 0.000 0.500 [4 per cell]


Model S:
The following is a DFT calculation (PBE-GGA) of crystalline ZrCr2Ni at its relaxed geometry.

volume = 238 Å³/cell

Lattice parameters (Å, degrees): 3.515 3.515 19.243 90.00 90.00 90.00
Space group I-42d (No. 122)
Asymmetric unit:
Zr 0.000 0.000 0.000 [4 per cell]
Cr 0.235 0.250 0.625 [8 per cell]
Ni 0.000 0.000 0.500 [4 per cell]


Most stable pick: model P. Distance to second place: 5.7 kJ/mol of atoms.


Model P:
The following is a DFT calculation (PBE-GGA) of crystalline ZrCr2Ni at its relaxed geometry.

volume = 56 Å³/cell

Lattice parameters (Å, degrees): 2.632 2.632 8.079 90.00 90.00 90.00
Space group P4/mmm (No. 123)
Asymmetric unit:
Zr 0.000 0.000 0.000 [1 per cell]
Cr 0.500 0.500 0.288 [2 per cell]
Ni 0.000 0.000 0.500 [1 per cell]


Model Q:
The following is a DFT calculation (PBE-GGA) of crystalline ZrCr2Ni at its relaxed geometry.

volume = 235 Å³/cell

Lattice parameters (Å, degrees): 6.174 6.174 6.174 90.00 90.00 90.00
Space group F-43m (No. 216)
Asymmetric unit:
Zr 0.000 0.000 0.000 [4 per cell]
Cr 0.000 0.000 0.500 [4 per cell]
Cr 0.250 0.250 0.750 [4 per cell]
Ni 0.250 0.250 0.250 [4 per cell]


Model R:
The following is a DFT calculation (PBE-GGA) of crystalline ZrCr2Ni at its relaxed geometry.

volume = 112 Å³/cell

Lattice parameters (Å, degrees): 3.162 4.414 8.044 90.00 90.00 90.00
Space group Cmm2 (No. 35)
Asymmetric unit:
Zr 0.000 0.000 0.000 [2 per cell]
Cr 0.000 0.000 0.499 [2 per cell]
Cr 0.000 0.500 0.288 [2 per cell]
Ni 0.000 0.500 0.722 [2 per cell]


Model S:
The following is a DFT calculation (PBE-GGA) of crystalline ZrCr2Ni at its relaxed geometry.

volume = 59 Å³/cell

Lattice parameters (Å, degrees): 3.220 4.191 4.342 90.00 90.00 90.00
Space group Pmmm (No. 47)
Asymmetric unit:
Zr 0.000 0.000 0.000 [1 per cell]
Cr 0.000 0.500 0.500 [1 per cell]
Cr 0.500 0.000 0.500 [1 per cell]
Ni 0.500 0.500 0.000 [1 per cell]


Most stable pick: model Q. Distance to second place: 5.0 kJ/mol of atoms.


Model P:
The following is a DFT calculation (PBE-GGA) of crystalline NpCrOs2 at its relaxed geometry.

volume = 63 Å³/cell

Lattice parameters (Å, degrees): 4.051 4.051 3.845 90.00 90.00 90.00
Space group P4/mmm (No. 123)
Asymmetric unit:
Np 0.000 0.000 0.000 [1 per cell]
Cr 0.500 0.500 0.000 [1 per cell]
Os 0.000 0.500 0.500 [2 per cell]


Model Q:
The following is a DFT calculation (PBE-GGA) of crystalline NpCrOs2 at its relaxed geometry.

volume = 63 Å³/cell

Lattice parameters (Å, degrees): 2.920 2.920 7.350 90.00 90.00 90.00
Space group P4/mmm (No. 123)
Asymmetric unit:
Np 0.000 0.000 0.000 [1 per cell]
Cr 0.000 0.000 0.500 [1 per cell]
Os 0.500 0.500 0.295 [2 per cell]


Most stable pick: model Q. Distance to second place: 1.7 kJ/mol of atoms.


Model P:
The following is a DFT calculation (PBE-GGA) of crystalline NpCrP2 at its relaxed geometry.

volume = 204 Å³/cell

Lattice parameters (Å, degrees): 3.5647 3.5647 18.5192 90.00 90.00 120.00
Space group R3m (No. 160, hexagonal axes)
Asymmetric unit:
Np 0.0000 0.0000 0.0000 [3 per cell]
Cr 0.0000 0.0000 0.1754 [3 per cell]
P 0.0000 0.0000 0.4382 [3 per cell]
P 0.0000 0.0000 0.5701 [3 per cell]


Model Q:
The following is a DFT calculation (PBE-GGA) of crystalline NpCrP2 at its relaxed geometry.

volume = 149 Å³/cell

Lattice parameters (Å, degrees): 3.495 3.495 12.218 90.00 90.00 90.00
Space group I-4m2 (No. 119)
Asymmetric unit:
Np 0.000 0.000 0.000 [2 per cell]
Cr 0.000 0.500 0.750 [2 per cell]
P 0.000 0.000 0.375 [4 per cell]


Most stable pick: model P. Distance to second place: 10.6 kJ/mol of atoms.


Model P:
The following is a DFT calculation (PBE-GGA) of crystalline NpCrP2 at its relaxed geometry.

volume = 207 Å³/cell

Lattice parameters (Å, degrees): 3.7440 3.7440 17.0765 90.00 90.00 120.00
Space group R-3m (No. 166, hexagonal axes)
Asymmetric unit:
Np 0.0000 0.0000 0.0000 [3 per cell]
Cr 0.0000 0.0000 0.5000 [3 per cell]
P 0.0000 0.0000 0.2351 [6 per cell]


Model Q:
The following is a DFT calculation (PBE-GGA) of crystalline NpCrP2 at its relaxed geometry.

volume = 262 Å³/cell

Lattice parameters (Å, degrees): 3.702 3.702 19.082 90.00 90.00 90.00
Space group I4/mmm (No. 139)
Asymmetric unit:
Np 0.000 0.000 0.108 [4 per cell]
Cr 0.000 0.500 0.250 [4 per cell]
P 0.000 0.000 0.326 [4 per cell]
P 0.000 0.500 0.000 [4 per cell]


Most stable pick: model Q. Distance to second place: 1.5 kJ/mol of atoms.